Compound: CsAcMnO3
Source: Alexandria via LeMat-Bulk
Functional: GGA+U
Structure: optimized geometry

```
CsAcMnO3
1.0
8.574 0.000 0.000
0.000 3.919 0.000
-1.938 0.000 8.481
Cs Ac Mn O
2 2 2 6
Direct
0.182 0.250 0.201
0.818 0.750 0.799
0.354 0.750 0.842
0.646 0.250 0.158
0.084 0.250 0.609
0.916 0.750 0.391
0.145 0.750 0.544
0.165 0.250 0.846
0.454 0.750 0.126
0.546 0.250 0.874
0.835 0.750 0.154
0.855 0.250 0.456
```

Space group ... P2_1/m
M_tot ... 10.000 Bohr magnetons per cell
VASP energy ... -40.22 eV per formula unit